# 1
Below is crystalline Li2InRu2 at its relaxed geometry, with properties calculated at the PBE-GGA level.

Structure (CIF):
```
data_Li2InRu2
_space_group_name_H-M_alt 'P 4/m b m'
_space_group_IT_number 127
_space_group_name_Hall '-P 4 2ab'
_cell_length_a 6.983
_cell_length_b 6.983
_cell_length_c 3.167
_cell_angle_alpha 90.00
_cell_angle_beta 90.00
_cell_angle_gamma 90.00
loop_
_atom_site_label
_atom_site_type_symbol
_atom_site_fract_x
_atom_site_fract_y
_atom_site_fract_z
Li1 Li 0.176 0.324 0.000
In1 In 0.000 0.000 0.500
Ru1 Ru 0.118 0.618 0.500
```

DOS(E_F)	9.5	states/eV/cell
final energy	-47.57	eV per cell
calculated formation energy	266	meV/atom

# 2
Below is crystalline Tm3Cu3Au2 at its relaxed geometry, with properties calculated at the PBE-GGA level.

Structure (CIF):
```
data_Tm3Cu3Au2
_space_group_name_H-M_alt 'P -6 2 m'
_space_group_IT_number 189
_space_group_name_Hall 'P -6 -2'
_cell_length_a 6.9493
_cell_length_b 6.9493
_cell_length_c 3.8556
_cell_angle_alpha 90.00
_cell_angle_beta 90.00
_cell_angle_gamma 120.00
loop_
_atom_site_label
_atom_site_type_symbol
_atom_site_fract_x
_atom_site_fract_y
_atom_site_fract_z
Tm1 Tm 0.0000 0.6364 0.0000
Cu1 Cu 0.0000 0.2178 0.5000
Au1 Au 0.3333 0.6667 0.5000
```

DOS(E_F)	4.1	states/eV/cell
final energy	-36.02	eV per cell
calculated formation energy	-470	meV/atom

# 3
Below is crystalline Sc2TePd8 at its relaxed geometry, with properties calculated at the PBE-GGA level.

Structure (CIF):
```
data_Sc2TePd8
_space_group_name_H-M_alt 'C 1 2/m 1'
_space_group_IT_number 12
_cell_length_a 15.312
_cell_length_b 4.645
_cell_length_c 5.811
_cell_angle_alpha 90.00
_cell_angle_beta 112.22
_cell_angle_gamma 90.00
loop_
_space_group_symop_operation_xyz
'x,y,z'
'-x,-y,-z'
'-x,y,-z'
'x,-y,z'
'x+1/2,y+1/2,z'
'-x+1/2,-y+1/2,-z'
'-x+1/2,y+1/2,-z'
'x+1/2,-y+1/2,z'
loop_
_atom_site_label
_atom_site_type_symbol
_atom_site_fract_x
_atom_site_fract_y
_atom_site_fract_z
Sc1 Sc 0.190 0.000 0.190
Te1 Te 0.000 0.500 0.500
Pd1 Pd 0.000 0.000 0.244
Pd2 Pd 0.144 0.500 0.381
Pd3 Pd 0.144 0.500 0.907
Pd4 Pd 0.185 0.000 0.686
```

DOS(E_F)	8.7	states/eV/cell
final energy	-128.16	eV per cell
uncorrected formation energy	-0.612	eV per atom

# 4
Below is crystalline NaRu2Cl11 at its relaxed geometry, with properties calculated at the PBE-GGA level.

Structure (CIF):
```
data_NaRu2Cl11
_space_group_name_H-M_alt 'I b a m'
_space_group_IT_number 72
_space_group_name_Hall '-I 2 2c'
_cell_length_a 11.210
_cell_length_b 11.413
_cell_length_c 12.936
_cell_angle_alpha 90.00
_cell_angle_beta 90.00
_cell_angle_gamma 90.00
loop_
_atom_site_label
_atom_site_type_symbol
_atom_site_fract_x
_atom_site_fract_y
_atom_site_fract_z
Na1 Na 0.000 0.000 0.250
Ru1 Ru 0.166 0.345 0.000
Cl1 Cl 0.000 0.500 0.000
Cl2 Cl 0.060 0.249 0.128
Cl3 Cl 0.193 0.291 0.500
Cl4 Cl 0.238 0.046 0.374
```

final energy	-189.54	eV per cell
uncorrected formation energy	-0.514	eV per atom

# 5
Below is crystalline RbNpMnTe3 at its relaxed geometry, with properties calculated at the PBE-GGA level.

Structure (CIF):
```
data_RbNpMnTe3
_space_group_name_H-M_alt 'P 1 21/m 1'
_space_group_IT_number 11
_cell_length_a 9.986
_cell_length_b 4.525
_cell_length_c 10.585
_cell_angle_alpha 90.00
_cell_angle_beta 109.51
_cell_angle_gamma 90.00
loop_
_space_group_symop_operation_xyz
'x,y,z'
'-x,-y,-z'
'-x,y+1/2,-z'
'x,-y+1/2,z'
loop_
_atom_site_label
_atom_site_type_symbol
_atom_site_fract_x
_atom_site_fract_y
_atom_site_fract_z
Rb1 Rb 0.208 0.250 0.240
Np1 Np 0.327 0.750 0.852
Mn1 Mn 0.083 0.250 0.595
Te1 Te 0.113 0.250 0.858
Te2 Te 0.207 0.750 0.535
Te3 Te 0.465 0.750 0.162
```

DOS(E_F)	21.6	states/eV/cell
final energy	-72.72	eV per cell
uncorrected formation energy	-0.643	eV per atom

# 6
Below is crystalline Ba2YCd at its relaxed geometry, with properties calculated at the PBE-GGA level.

Structure (CIF):
```
data_Ba2YCd
_space_group_name_H-M_alt 'P m m m'
_space_group_IT_number 47
_cell_length_a 4.639
_cell_length_b 5.639
_cell_length_c 5.920
_cell_angle_alpha 90.00
_cell_angle_beta 90.00
_cell_angle_gamma 90.00
loop_
_space_group_symop_operation_xyz
'x,y,z'
'-x,-y,-z'
'-x,-y,z'
'x,y,-z'
'x,-y,-z'
'-x,y,z'
'-x,y,-z'
'x,-y,z'
loop_
_atom_site_label
_atom_site_type_symbol
_atom_site_fract_x
_atom_site_fract_y
_atom_site_fract_z
Ba1 Ba 0.000 0.000 0.000
Ba2 Ba 0.500 0.500 0.000
Y1 Y 0.000 0.500 0.500
Cd1 Cd 0.500 0.000 0.500
```

DOS(E_F)	5.2	states/eV/cell
final energy	-10.70	eV per cell
calculated formation energy	131	meV/atom